P) First-principles (PBE) data for an optimized crystal structure of Nd2YGa2, as listed in Alexandria via LeMat-Bulk.

Lattice parameters (Å, degrees): 4.531 7.769 7.769 90.00 90.00 90.00
Fractional positions:
1 Nd 0.500 0.174 0.674
2 Nd 0.500 0.674 0.826
3 Nd 0.500 0.826 0.326
4 Nd 0.500 0.326 0.174
5 Y 0.000 0.000 0.000
6 Y 0.000 0.500 0.500
7 Ga 0.000 0.381 0.881
8 Ga 0.000 0.881 0.619
9 Ga 0.000 0.619 0.119
10 Ga 0.000 0.119 0.381

Properties
- Symmetry: P4/mbm
- Magnetization: 0.0 μB per formula unit

Q) First-principles (PBE) data for an optimized crystal structure of Nd2YGa2, as listed in Alexandria via LeMat-Bulk.

Lattice parameters (Å, degrees): 3.663 6.138 6.506 101.34 106.35 90.00
Fractional positions:
1 Nd 0.365 0.429 0.731
2 Nd 0.635 0.571 0.269
3 Y 0.000 0.000 0.000
4 Ga 0.700 0.106 0.401
5 Ga 0.300 0.894 0.599

Properties
- Symmetry: C2/m
- Magnetization: 0.0 μB per formula unit

Q) is the least stable structure shown above.